No. 1
## Zr3Sb4 (PBE)

Data for a relaxed structure of Zr3Sb4.

Summary:
SG: P6/mmm
Excess energy over the best structure of this formula in the dataset: 0.301 eV/atom
E_form (uncorrected): -0.258 eV per atom

Structure (POSCAR):
```
Zr3Sb4
1.0
5.987 0.000 0.000
-2.993 5.185 0.000
0.000 0.000 5.459
Zr Sb
3 4
Direct
0.000 0.500 0.000
0.500 0.000 0.000
0.500 0.500 0.000
0.000 0.000 0.251
0.000 0.000 0.749
0.333 0.667 0.500
0.667 0.333 0.500
```

---

No. 2
## Pu2TcAu (PBE)

Data for a relaxed structure of Pu2TcAu.

Summary:
SG: P4/mmm
Energy relative to the elements: -0.193 eV per atom

Structure (POSCAR):
```
Pu2TcAu
1.0
3.256 0.000 0.000
0.000 3.256 0.000
0.000 0.000 8.016
Pu Tc Au
2 1 1
Direct
0.000 0.000 0.224
0.000 0.000 0.776
0.500 0.500 0.000
0.500 0.500 0.500
```

---

No. 3
## LiLuThMo (PBE)

Data for a relaxed structure of LiLuThMo.

Summary:
SG: F-43m
Energy relative to the elements: 0.113 eV per atom

Structure (POSCAR):
```
LiLuThMo
1.0
0.000 3.535 3.535
3.535 0.000 3.535
3.535 3.535 0.000
Li Lu Th Mo
1 1 1 1
Direct
0.000 0.000 0.000
0.250 0.250 0.250
0.750 0.750 0.750
0.500 0.500 0.500
```

---

No. 4
## Sc2SiI (PBE)

Data for a relaxed structure of Sc2SiI.

Summary:
SG: Fm-3m
Excess energy over the best structure of this formula in the dataset: 0.321 eV/atom
E_form (uncorrected): -0.294 eV per atom

Structure (POSCAR):
```
Sc2SiI
1.0
0.000 3.525 3.525
3.525 0.000 3.525
3.525 3.525 0.000
Sc Si I
2 1 1
Direct
0.250 0.250 0.250
0.750 0.750 0.750
0.000 0.000 0.000
0.500 0.500 0.500
```

---

No. 5
## Ac3TlTe (PBE)

Data for a relaxed structure of Ac3TlTe.

Summary:
SG: Pnma
Excess energy over the best structure of this formula in the dataset: 0.000 eV/atom
E_form (uncorrected): -0.674 eV per atom

Structure (POSCAR):
```
Ac3TlTe
1.0
9.223 0.000 0.000
0.000 4.777 0.000
0.000 0.000 18.051
Ac Tl Te
12 4 4
Direct
0.014 0.250 0.111
0.132 0.250 0.559
0.183 0.750 0.272
0.317 0.250 0.772
0.368 0.750 0.059
0.486 0.750 0.611
0.514 0.250 0.389
0.632 0.250 0.941
0.683 0.750 0.228
0.817 0.250 0.728
0.868 0.750 0.441
0.986 0.750 0.889
0.091 0.750 0.697
0.409 0.250 0.197
0.591 0.750 0.803
0.909 0.250 0.303
0.216 0.250 0.953
0.284 0.750 0.453
0.716 0.250 0.547
0.784 0.750 0.047
```

---

No. 6
## Cs3F4 (PBE)

Data for a relaxed structure of Cs3F4.

Summary:
SG: C2/m
E_form (uncorrected): -2.273 eV per atom

Structure (POSCAR):
```
Cs3F4
1.0
12.482 -2.064 0.000
12.482 2.064 0.000
-0.674 0.000 4.074
Cs F
3 4
Direct
0.000 0.000 0.000
0.182 0.182 0.183
0.818 0.818 0.817
0.302 0.302 0.302
0.456 0.456 0.457
0.544 0.544 0.543
0.698 0.698 0.698
```

---

No. 7
## RhBrF2 (PBE)

Data for a relaxed structure of RhBrF2.

Summary:
SG: Fm-3m
Excess energy over the best structure of this formula in the dataset: 0.570 eV/atom
E_form (uncorrected): 0.010 eV per atom

Structure (POSCAR):
```
RhBrF2
1.0
0.000 3.077 3.077
3.077 0.000 3.077
3.077 3.077 0.000
Rh Br F
1 1 2
Direct
0.000 0.000 0.000
0.500 0.500 0.500
0.250 0.250 0.250
0.750 0.750 0.750
```

---

No. 8
## LaCoPCl2 (PBE)

Data for a relaxed structure of LaCoPCl2.

Summary:
SG: P4/mmm
Excess energy over the best structure of this formula in the dataset: 0.000 eV/atom
E_form (uncorrected): -0.836 eV per atom

Structure (POSCAR):
```
LaCoPCl2
1.0
4.553 0.000 0.000
0.000 4.553 0.000
0.000 0.000 4.750
La Co P Cl
1 1 1 2
Direct
0.000 0.000 0.000
0.500 0.500 0.500
0.500 0.500 0.000
0.000 0.500 0.500
0.500 0.000 0.500
```

---

No. 9
## LiFeHg3 (PBE)

Data for a relaxed structure of LiFeHg3.

Summary:
SG: Pm-3m
Excess energy over the best structure of this formula in the dataset: 0.000 eV/atom
Energy relative to the elements: 0.288 eV per atom

Structure (POSCAR):
```
LiFeHg3
1.0
5.097 0.000 0.000
0.000 5.097 0.000
0.000 0.000 5.097
Li Fe Hg
1 1 3
Direct
0.000 0.000 0.000
0.500 0.500 0.500
0.000 0.500 0.500
0.500 0.000 0.500
0.500 0.500 0.000
```

---

No. 10
## KLiIF6 (PBE)

Data for a relaxed structure of KLiIF6.

Summary:
SG: P1
E_form (uncorrected): -2.031 eV per atom

Structure (POSCAR):
```
KLiIF6
1.0
5.186 0.000 0.000
0.002 5.875 0.000
0.001 2.932 5.130
K Li I F
1 1 1 6
Direct
0.000 0.000 0.000
0.500 0.336 0.326
0.500 0.668 0.663
0.317 0.357 0.000
0.322 0.000 0.646
0.326 0.647 0.347
0.675 0.006 0.347
0.677 0.352 0.647
0.683 0.643 0.999
```

---

No. 11
## Mg2Ir2Pt (PBE)

Data for a relaxed structure of Mg2Ir2Pt.

Summary:
SG: P4/mbm
Energy relative to the elements: -0.245 eV per atom

Structure (POSCAR):
```
Mg2Ir2Pt
1.0
6.583 0.000 0.000
0.000 6.583 0.000
0.000 0.000 4.041
Mg Ir Pt
4 4 2
Direct
0.174 0.326 0.000
0.326 0.826 0.000
0.674 0.174 0.000
0.826 0.674 0.000
0.129 0.629 0.500
0.371 0.129 0.500
0.629 0.871 0.500
0.871 0.371 0.500
0.000 0.000 0.500
0.500 0.500 0.500
```

---

No. 12
## InMo3C (PBE)

Data for a relaxed structure of InMo3C.

Summary:
SG: Pm-3m
Excess energy over the best structure of this formula in the dataset: 3.613 eV/atom
Energy relative to the elements: 3.790 eV per atom

Structure (POSCAR):
```
InMo3C
1.0
4.890 0.000 0.000
0.000 4.890 0.000
0.000 0.000 4.890
In Mo C
1 3 1
Direct
0.000 0.000 0.000
0.000 0.000 0.500
0.000 0.500 0.000
0.500 0.000 0.000
0.500 0.500 0.500
```

---

Number 1: total magnetic moment 0.0 μB per formula unit, final energy -6.28 eV per atom. Number 2: total magnetic moment 10.2 μB per formula unit, final energy -10.77 eV per atom. Number 3: total magnetic moment 0.0 μB per formula unit, final energy -6.06 eV per atom. Number 4: total magnetic moment 0.8 μB per formula unit, final energy -5.20 eV per atom. Number 5: total magnetic moment 0.2 μB per formula unit, final energy -4.24 eV per atom. Number 6: total magnetic moment 1.1 μB per formula unit, final energy -3.71 eV per atom. Number 7: total magnetic moment 4.0 μB per formula unit, final energy -3.18 eV per atom. Number 8: total magnetic moment 0.8 μB per formula unit, final energy -5.06 eV per atom. Number 9: total magnetic moment 2.0 μB per formula unit, final energy -1.97 eV per atom. Number 10: total magnetic moment 1.0 μB per formula unit, final energy -3.79 eV per atom. Number 11: total magnetic moment 0.0 μB per formula unit, final energy -5.64 eV per atom. Number 12: total magnetic moment 0.0 μB per formula unit, final energy -5.10 eV per atom.